No. 1
# In2OsW PBE-GGA optimized geometry
# **Calculated total energy**: -57.67 eV per cell
# **ρ**: 12.94 g cm⁻³
data_In2OsW
_chemical_formula_sum 'In4 Os2 W2'
_space_group_name_H-M_alt 'A m m 2'
_space_group_IT_number 38
_cell_length_a 3.021
_cell_length_b 3.034
_cell_length_c 16.906
_cell_angle_alpha 90.00
_cell_angle_beta 90.00
_cell_angle_gamma 90.00
loop_
_space_group_symop_operation_xyz
'x,y,z'
'-x,-y,z'
'-x,y,z'
'x,-y,z'
'x,y+1/2,z+1/2'
'-x,-y+1/2,z+1/2'
'-x,y+1/2,z+1/2'
'x,-y+1/2,z+1/2'
loop_
_atom_site_label
_atom_site_fract_x
_atom_site_fract_y
_atom_site_fract_z
_atom_site_occupancy
In1 0.000 0.000 0.000 1
In2 0.500 0.000 0.165 1
Os1 0.500 0.000 0.380 1
W1 0.000 0.000 0.791 1

No. 2
# TbTh2Ga PBE-GGA optimized geometry
# **Calculated total energy**: -66.12 eV per cell
# **ρ**: 9.81 g cm⁻³
data_TbTh2Ga
_chemical_formula_sum 'Tb3 Th6 Ga3'
_space_group_name_H-M_alt 'R -3 m'
_space_group_IT_number 166
_space_group_name_Hall '-R 3 2"'
_cell_length_a 3.4036
_cell_length_b 3.4036
_cell_length_c 35.0785
_cell_angle_alpha 90.00
_cell_angle_beta 90.00
_cell_angle_gamma 120.00
loop_
_atom_site_label
_atom_site_fract_x
_atom_site_fract_y
_atom_site_fract_z
_atom_site_occupancy
Tb1 0.0000 0.0000 0.0000 1
Th1 0.0000 0.0000 0.0949 1
Ga1 0.0000 0.0000 0.5000 1

No. 3
# YTePb2O PBE-GGA optimized geometry
# **Calculated total energy**: -24.24 eV per cell
# **Uncorrected formation energy**: -451 meV/atom
# **ρ**: 8.74 g cm⁻³
data_YTePb2O
_chemical_formula_sum 'Y1 Te1 Pb2 O1'
_space_group_name_H-M_alt 'P 4/m m m'
_space_group_IT_number 123
_space_group_name_Hall '-P 4 2'
_cell_length_a 5.039
_cell_length_b 5.039
_cell_length_c 4.841
_cell_angle_alpha 90.00
_cell_angle_beta 90.00
_cell_angle_gamma 90.00
loop_
_atom_site_label
_atom_site_fract_x
_atom_site_fract_y
_atom_site_fract_z
_atom_site_occupancy
Y1 0.000 0.000 0.000 1
Te1 0.500 0.500 0.000 1
Pb1 0.000 0.500 0.500 1
O1 0.500 0.500 0.500 1

No. 4
# TbZrBi PBE-GGA optimized geometry
# **Calculated total energy**: -17.26 eV per cell
# **ρ**: 9.14 g cm⁻³
data_TbZrBi
_chemical_formula_sum 'Tb1 Zr1 Bi1'
_space_group_name_H-M_alt 'P 3 m 1'
_space_group_IT_number 156
_cell_length_a 5.2574
_cell_length_b 5.2574
_cell_length_c 3.4851
_cell_angle_alpha 90.00
_cell_angle_beta 90.00
_cell_angle_gamma 120.00
loop_
_space_group_symop_operation_xyz
'x,y,z'
'-y,x-y,z'
'-x+y,-x,z'
'-y,-x,z'
'-x+y,y,z'
'x,x-y,z'
loop_
_atom_site_label
_atom_site_fract_x
_atom_site_fract_y
_atom_site_fract_z
_atom_site_occupancy
Tb1 0.0000 0.0000 0.0000 1
Zr1 0.3333 0.6667 0.4994 1
Bi1 0.6667 0.3333 0.5023 1

No. 5
# Hf2Mn2Cr PBE-GGA optimized geometry
# **Calculated total energy**: -95.74 eV per cell
# **ρ**: 11.05 g cm⁻³
data_Hf2Mn2Cr
_chemical_formula_sum 'Hf4 Mn4 Cr2'
_space_group_name_H-M_alt 'P 4/m b m'
_space_group_IT_number 127
_space_group_name_Hall '-P 4 2ab'
_cell_length_a 6.012
_cell_length_b 6.012
_cell_length_c 4.315
_cell_angle_alpha 90.00
_cell_angle_beta 90.00
_cell_angle_gamma 90.00
loop_
_atom_site_label
_atom_site_fract_x
_atom_site_fract_y
_atom_site_fract_z
_atom_site_occupancy
Hf1 0.181 0.319 0.000 1
Mn1 0.130 0.630 0.500 1
Cr1 0.000 0.000 0.500 1

No. 6
# Mn2PtC PBE-GGA optimized geometry
# **Calculated total energy**: -130.22 eV per cell
# **ρ**: 10.88 g cm⁻³
data_Mn2PtC
_chemical_formula_sum 'Mn8 Pt4 C4'
_space_group_name_H-M_alt 'I -4 2 d'
_space_group_IT_number 122
_space_group_name_Hall 'I -4 2bw'
_cell_length_a 6.394
_cell_length_b 6.394
_cell_length_c 4.733
_cell_angle_alpha 90.00
_cell_angle_beta 90.00
_cell_angle_gamma 90.00
loop_
_atom_site_label
_atom_site_fract_x
_atom_site_fract_y
_atom_site_fract_z
_atom_site_occupancy
Mn1 0.144 0.250 0.125 1
Pt1 0.000 0.000 0.500 1
C1 0.000 0.000 0.000 1

No. 7
# Sm4PtS3 PBE-GGA optimized geometry
# **Calculated total energy**: -51.26 eV per cell
# **Uncorrected formation energy**: -1745 meV/atom
# **ρ**: 7.77 g cm⁻³
data_Sm4PtS3
_chemical_formula_sum 'Sm4 Pt1 S3'
_space_group_name_H-M_alt 'P m -3 m'
_space_group_IT_number 221
_space_group_name_Hall '-P 4 2 3'
_cell_length_a 5.757
_cell_length_b 5.757
_cell_length_c 5.757
_cell_angle_alpha 90.00
_cell_angle_beta 90.00
_cell_angle_gamma 90.00
loop_
_atom_site_label
_atom_site_fract_x
_atom_site_fract_y
_atom_site_fract_z
_atom_site_occupancy
Sm1 0.000 0.000 0.000 1
Sm2 0.000 0.500 0.500 1
Pt1 0.500 0.500 0.500 1
S1 0.000 0.000 0.500 1

No. 8
# InCuPt3 PBE-GGA optimized geometry
# **Calculated total energy**: -18.69 eV per cell
# **ρ**: 10.51 g cm⁻³
data_InCuPt3
_chemical_formula_sum 'In1 Cu1 Pt3'
_space_group_name_H-M_alt 'P m -3 m'
_space_group_IT_number 221
_space_group_name_Hall '-P 4 2 3'
_cell_length_a 4.941
_cell_length_b 4.941
_cell_length_c 4.941
_cell_angle_alpha 90.00
_cell_angle_beta 90.00
_cell_angle_gamma 90.00
loop_
_atom_site_label
_atom_site_fract_x
_atom_site_fract_y
_atom_site_fract_z
_atom_site_occupancy
In1 0.000 0.000 0.000 1
Cu1 0.500 0.500 0.500 1
Pt1 0.000 0.000 0.500 1

No. 9
# Sc2TaAs PBE-GGA optimized geometry
# **Calculated total energy**: -115.91 eV per cell
# **ρ**: 6.90 g cm⁻³
data_Sc2TaAs
_chemical_formula_sum 'Sc8 Ta4 As4'
_space_group_name_H-M_alt 'I -4 2 d'
_space_group_IT_number 122
_space_group_name_Hall 'I -4 2bw'
_cell_length_a 7.873
_cell_length_b 7.873
_cell_length_c 5.369
_cell_angle_alpha 90.00
_cell_angle_beta 90.00
_cell_angle_gamma 90.00
loop_
_atom_site_label
_atom_site_fract_x
_atom_site_fract_y
_atom_site_fract_z
_atom_site_occupancy
Sc1 0.205 0.250 0.125 1
Ta1 0.000 0.000 0.500 1
As1 0.000 0.000 0.000 1

No. 10
# CoAgHg2 PBE-GGA optimized geometry
# **Calculated total energy**: -9.14 eV per cell
# **ρ**: 12.60 g cm⁻³
data_CoAgHg2
_chemical_formula_sum 'Co1 Ag1 Hg2'
_space_group_name_H-M_alt 'P 4 m m'
_space_group_IT_number 99
_cell_length_a 3.006
_cell_length_b 3.006
_cell_length_c 8.281
_cell_angle_alpha 90.00
_cell_angle_beta 90.00
_cell_angle_gamma 90.00
loop_
_space_group_symop_operation_xyz
'x,y,z'
'-y,x,z'
'-x,-y,z'
'y,-x,z'
'-x,y,z'
'y,x,z'
'x,-y,z'
'-y,-x,z'
loop_
_atom_site_label
_atom_site_fract_x
_atom_site_fract_y
_atom_site_fract_z
_atom_site_occupancy
Co1 0.000 0.000 0.000 1
Ag1 0.500 0.500 0.794 1
Hg1 0.000 0.000 0.526 1
Hg2 0.500 0.500 0.216 1

No. 11
# Tb5SmTm7 PBE-GGA optimized geometry
# **Calculated total energy**: -111.69 eV per cell
# **ρ**: 8.43 g cm⁻³
data_Tb5SmTm7
_chemical_formula_sum 'Tb10 Sm2 Tm14'
_space_group_name_H-M_alt 'I m m 2'
_space_group_IT_number 44
_cell_length_a 6.664
_cell_length_b 10.966
_cell_length_c 11.477
_cell_angle_alpha 90.00
_cell_angle_beta 90.00
_cell_angle_gamma 90.00
loop_
_space_group_symop_operation_xyz
'x,y,z'
'-x,-y,z'
'-x,y,z'
'x,-y,z'
'x+1/2,y+1/2,z+1/2'
'-x+1/2,-y+1/2,z+1/2'
'-x+1/2,y+1/2,z+1/2'
'x+1/2,-y+1/2,z+1/2'
loop_
_atom_site_label
_atom_site_fract_x
_atom_site_fract_y
_atom_site_fract_z
_atom_site_occupancy
Tb1 0.000 0.000 0.000 1
Tb2 0.231 0.273 0.997 1
Sm1 0.000 0.500 0.197 1
Tm1 0.000 0.000 0.497 1
Tm2 0.000 0.168 0.250 1
Tm3 0.000 0.169 0.747 1
Tm4 0.000 0.500 0.502 1
Tm5 0.000 0.500 0.806 1

No. 12
# SrFeSi2 PBE-GGA optimized geometry
# **Calculated total energy**: -87.82 eV per cell
# **Uncorrected formation energy**: -241 meV/atom
# **ρ**: 3.58 g cm⁻³
data_SrFeSi2
_chemical_formula_sum 'Sr4 Fe4 Si8'
_space_group_name_H-M_alt 'I 41/a m d'
_space_group_IT_number 141
_cell_length_a 5.208
_cell_length_b 5.208
_cell_length_c 13.658
_cell_angle_alpha 90.00
_cell_angle_beta 90.00
_cell_angle_gamma 90.00
loop_
_space_group_symop_operation_xyz
'x,y,z'
'-x,-y,-z'
'-y+1/4,x+3/4,z+1/4'
'y+1/4,-x+3/4,-z+1/4'
'-x+1/2,-y,z+1/2'
'x+1/2,y,-z+1/2'
'y+1/4,-x+1/4,z+3/4'
'-y+1/4,x+1/4,-z+3/4'
'x,-y,-z'
'-x,y,z'
'-y+1/4,-x+1/4,-z+3/4'
'y+1/4,x+1/4,z+3/4'
'-x+1/2,y,-z+1/2'
'x+1/2,-y,z+1/2'
'y+1/4,x+3/4,-z+1/4'
'-y+1/4,-x+3/4,z+1/4'
'x+1/2,y+1/2,z+1/2'
'-x+1/2,-y+1/2,-z+1/2'
'-y+3/4,x+1/4,z+3/4'
'y+3/4,-x+1/4,-z+3/4'
'-x,-y+1/2,z'
'x,y+1/2,-z'
'y+3/4,-x+3/4,z+1/4'
'-y+3/4,x+3/4,-z+1/4'
'x+1/2,-y+1/2,-z+1/2'
'-x+1/2,y+1/2,z+1/2'
'-y+3/4,-x+3/4,-z+1/4'
'y+3/4,x+3/4,z+1/4'
'-x,y+1/2,-z'
'x,-y+1/2,z'
'y+3/4,x+1/4,-z+3/4'
'-y+3/4,-x+1/4,z+3/4'
loop_
_atom_site_label
_atom_site_fract_x
_atom_site_fract_y
_atom_site_fract_z
_atom_site_occupancy
Sr1 0.000 0.250 0.375 1
Fe1 0.000 0.250 0.875 1
Si1 0.000 0.000 0.000 1

The highest calculated total energy belongs to which entry? CoAgHg2

calculated total energy of number 11 (Tb5SmTm7)? -111.69 eV per cell